# MnCo2Re | the Alexandria database | GGA-PBE | relaxed
data_MnCo2Re
_cell_length_a 5.0909
_cell_length_b 7.2508
_cell_length_c 2.5744
_cell_angle_alpha 90.00
_cell_angle_beta 90.00
_cell_angle_gamma 90.00
_symmetry_space_group_name_H-M 'C m m m'
_symmetry_Int_Tables_number 65
_symmetry_space_group_name_Hall '-C 2 2'
loop_
_atom_site_label
_atom_site_type_symbol
_atom_site_fract_x
_atom_site_fract_y
_atom_site_fract_z
Mn1 Mn 0.0000 0.0000 0.0000
Co1 Co 0.2500 0.2500 0.5000
Re1 Re 0.0000 0.5000 0.0000
# total DFT energy (no corrections): -8.9123 eV per atom
# magnetic moment: 1.79 μB per formula unit
# crystal system: orthorhombic
# ΔH_f (0 K): 0.045 eV per atom
# E above lowest polymorph: 0.13 eV per formula unit



# Ti2NbNi9 | the Alexandria database | GGA-PBE | relaxed
data_Ti2NbNi9
_cell_length_a 3.6366
_cell_length_b 3.6366
_cell_length_c 10.9215
_cell_angle_alpha 90.00
_cell_angle_beta 90.00
_cell_angle_gamma 90.00
_symmetry_space_group_name_H-M 'P 4/m m m'
_symmetry_Int_Tables_number 123
_symmetry_space_group_name_Hall '-P 4 2'
loop_
_atom_site_label
_atom_site_type_symbol
_atom_site_fract_x
_atom_site_fract_y
_atom_site_fract_z
Ti1 Ti 0.0000 0.0000 0.1631
Nb1 Nb 0.0000 0.0000 0.5000
Ni1 Ni 0.0000 0.5000 0.0000
Ni2 Ni 0.0000 0.5000 0.3292
Ni3 Ni 0.5000 0.5000 0.1652
Ni4 Ni 0.5000 0.5000 0.5000
# total DFT energy (no corrections): -6.8424 eV per atom
# magnetic moment: 0.00 μB per formula unit
# crystal system: tetragonal
# ΔH_f (0 K): -0.351 eV per atom



# NaSrSe | the Alexandria database | GGA-PBE | relaxed
data_NaSrSe
_cell_length_a 5.2367
_cell_length_b 5.2367
_cell_length_c 31.6602
_cell_angle_alpha 90.00
_cell_angle_beta 90.00
_cell_angle_gamma 120.00
_symmetry_space_group_name_H-M 'R -3 m'
_symmetry_Int_Tables_number 166
_symmetry_space_group_name_Hall '-R 3 2"'
loop_
_atom_site_label
_atom_site_type_symbol
_atom_site_fract_x
_atom_site_fract_y
_atom_site_fract_z
Na1 Na 0.0000 0.0000 0.1935
Sr1 Sr 0.0000 0.0000 0.3828
Se1 Se 0.0000 0.0000 0.2854
# total DFT energy (no corrections): -3.3036 eV per atom
# formation energy without anion corrections: -1.1418 eV per atom
# magnetic moment: 0.00 μB per formula unit
# crystal system: trigonal
# E above lowest polymorph: 0.40 eV per formula unit



# K2SiN2 | the Alexandria database | GGA-PBE | relaxed
data_K2SiN2
_cell_length_a 6.5385
_cell_length_b 10.7999
_cell_length_c 4.9194
_cell_angle_alpha 90.00
_cell_angle_beta 90.00
_cell_angle_gamma 90.00
_symmetry_space_group_name_H-M 'I b a m'
_symmetry_Int_Tables_number 72
_symmetry_space_group_name_Hall '-I 2 2c'
loop_
_atom_site_label
_atom_site_type_symbol
_atom_site_fract_x
_atom_site_fract_y
_atom_site_fract_z
K1 K 0.1526 0.1551 0.0000
Si1 Si 0.0000 0.5000 0.2500
N1 N 0.1441 0.4165 0.0000
# total DFT energy (no corrections): -5.3993 eV per atom
# formation energy without anion corrections: -0.5455 eV per atom
# magnetic moment: 0.00 μB per formula unit
# crystal system: orthorhombic



- What is the total DFT energy (no corrections) in the second record?
  -6.8424 eV per atom